A plane-wave DFT calculation with PBEsol was carried out for a geometry-optimized SrMgHg structure.

Summary:
energy of formation = -368 meV/atom
theoretical density = 5.93 g/cm3

Cell: 4.130 4.946 4.946 Å, 120.00 90.00 90.00°
Fractional positions:
Sr1 0.500 0.667 0.333
Mg1 0.000 0.333 0.667
Hg1 0.000 0.000 0.000